Record 1
This record from the Alexandria database describes Ho2ZrNpAs4 after structural relaxation. The functional is PBE.

Lattice parameters (Å, degrees): 6.979 4.030 6.996 90.00 109.17 90.00
Fractional positions:
1 Ho 0.000 0.000 0.000
2 Ho 0.500 0.500 0.000
3 Zr 0.000 0.500 0.500
4 Np 0.500 0.000 0.500
5 As 0.242 0.000 0.741
6 As 0.245 0.500 0.255
7 As 0.755 0.500 0.745
8 As 0.758 0.000 0.259

Computed properties:
- Calculated total energy: -7.367 eV per atom
- Formation energy from the elements: -1.212 eV per atom
- SG: P2/m, No. 10
- Mass density: 8557 kg/m³
- Total magnetization: 0.4950 μB per atom

---

Record 2
This record from the Alexandria database describes Zn5GaCu2Ag2 after structural relaxation. The functional is PBE.

Lattice parameters (Å, degrees): 8.895 8.895 4.015 90.00 90.00 90.00
Fractional positions:
1 Zn 0.000 0.500 0.000
2 Zn 0.079 0.205 0.000
3 Zn 0.205 0.921 0.000
4 Zn 0.295 0.421 0.000
5 Zn 0.421 0.705 0.000
6 Zn 0.500 0.000 0.000
7 Zn 0.579 0.295 0.000
8 Zn 0.705 0.579 0.000
9 Zn 0.795 0.079 0.000
10 Zn 0.921 0.795 0.000
11 Ga 0.000 0.000 0.500
12 Ga 0.500 0.500 0.500
13 Cu 0.110 0.390 0.500
14 Cu 0.390 0.890 0.500
15 Cu 0.610 0.110 0.500
16 Cu 0.890 0.610 0.500
17 Ag 0.183 0.683 0.500
18 Ag 0.317 0.183 0.500
19 Ag 0.683 0.817 0.500
20 Ag 0.817 0.317 0.500

Computed properties:
- Calculated total energy: -2.282 eV per atom
- Formation energy from the elements: 0.047 eV per atom
- SG: P4/mbm, No. 127
- Mass density: 7731 kg/m³
- Total magnetization: 0.0000 μB per atom

---

Record 3
This record from the Alexandria database describes CsCuNiCl6 after structural relaxation. The functional is PBE.

Lattice parameters (Å, degrees): 6.161 6.161 7.771 92.94 92.94 112.82
Fractional positions:
1 Cs 0.000 0.000 0.000
2 Cu 0.308 0.692 0.500
3 Ni 0.645 0.355 0.500
4 Cl 0.348 0.026 0.659
5 Cl 0.367 0.405 0.326
6 Cl 0.595 0.633 0.674
7 Cl 0.644 0.068 0.316
8 Cl 0.932 0.356 0.684
9 Cl 0.974 0.652 0.341

Computed properties:
- Calculated total energy: -3.231 eV per atom
- SG: C2, No. 5
- Mass density: 2869 kg/m³
- Total magnetization: 0.2160 μB per atom

---

Record 4
This record from the Alexandria database describes Pm3Os after structural relaxation. The functional is PBE.

Lattice parameters (Å, degrees): 8.993 8.993 6.308 110.49 110.49 82.99
Fractional positions:
1 Pm 0.000 0.000 0.000
2 Pm 0.000 0.284 0.642
3 Pm 0.165 0.642 0.167
4 Pm 0.358 0.049 0.501
5 Pm 0.358 0.236 0.094
6 Pm 0.358 0.450 0.640
7 Pm 0.358 0.835 0.833
8 Pm 0.550 0.642 0.360
9 Pm 0.716 0.000 0.358
10 Pm 0.717 0.283 0.000
11 Pm 0.764 0.642 0.906
12 Pm 0.951 0.642 0.499
13 Os 0.068 0.352 0.210
14 Os 0.068 0.932 0.500
15 Os 0.648 0.352 0.500
16 Os 0.648 0.932 0.790

Computed properties:
- Calculated total energy: -6.451 eV per atom
- Formation energy from the elements: -0.081 eV per atom
- SG: C2, No. 5
- Mass density: 9276 kg/m³
- Total magnetization: 0.0000 μB per atom

---

Q: What is the calculated total energy in the first record?
A: -7.367 eV per atom

---

Q: The highest calculated total energy belongs to which entry?
A: Zn5GaCu2Ag2